This record from Alexandria via LeMat-Bulk describes Cs3Rb2NaCl6 after structural relaxation. The functional is PBE.

It has space group C2/m (No. 12), with a = 8.242 Å, b = 14.262 Å, c = 8.253 Å, α = 90.00°, β = 109.52° and γ = 90.00°. The distinct sites, in fractional coordinates, are Cs at (0.000, 0.000, 0.000), Cs at (0.000, 0.331, 0.000), Rb at (0.000, 0.166, 0.500), Na at (0.000, 0.500, 0.500), Cl at (0.229, 0.345, 0.722) and Cl at (0.235, 0.500, 0.276).

The value obtained for the formation energy (no corrections) is -2197 kJ/mol of formula units. Its crystal system is monoclinic. For the spin magnetization, the calculation gives 0.0 μB/f.u.